a.
Compound: HgRhF2
Source: Alexandria via LeMat-Bulk
Functional: PBE
Structure: relaxed

As for the density of states at the Fermi level: 12.40 states/eV/cell.

It has space group Fm-3m (No. 225), with a = 6.142 Å, b = 6.142 Å, c = 6.142 Å, α = 90.00°, β = 90.00° and γ = 90.00°. The inequivalent atoms are Hg at (0.000, 0.000, 0.000), Rh at (0.000, 0.000, 0.500) and F at (0.250, 0.250, 0.250).

***

b.
Compound: HgRhF2
Source: Alexandria via LeMat-Bulk
Functional: PBE
Structure: relaxed

As for the density of states at the Fermi level: 6.23 states/eV/cell.

It has space group R-3m (No. 166, hexagonal axes), with a = 2.8727 Å, b = 2.8727 Å, c = 25.8475 Å, α = 90.00°, β = 90.00° and γ = 120.00°. The inequivalent atoms are Hg at (0.0000, 0.0000, 0.0000), Rh at (0.0000, 0.0000, 0.5000) and F at (0.0000, 0.0000, 0.4253).

***

Comparing the structures above, b comes out on top by 425 meV per atom.